# 1
First-principles (PBE) data for a relaxed Zn4S crystal, as listed in Alexandria via LeMat-Bulk.

a = 4.763 Å, b = 4.763 Å, c = 4.763 Å
α = 90.00°, β = 90.00°, γ = 90.00°
Positions (direct):
Zn (0.000, 0.000, 0.000)
Zn (0.000, 0.500, 0.500)
Zn (0.500, 0.000, 0.500)
Zn (0.500, 0.500, 0.000)
S (0.500, 0.500, 0.500)

## Properties
Energy relative to the elements, uncorrected   0.4295 eV/atom
Final energy   -0.104 Ry/atom

=====

# 2
First-principles (PBE) data for a relaxed AlTcSb2 crystal, as listed in Alexandria via LeMat-Bulk.

a = 4.856 Å, b = 4.856 Å, c = 3.431 Å
α = 90.31°, β = 90.31°, γ = 104.72°
Positions (direct):
Al (0.000, 0.000, 0.000)
Tc (0.500, 0.500, 0.000)
Sb (0.000, 0.500, 0.500)
Sb (0.500, 0.000, 0.500)

## Properties
Energy relative to the elements, uncorrected   0.3731 eV/atom
Final energy   -0.383 Ry/atom